The following is a DFT calculation (PBE) of a relaxed structure of HoCu2Ni2.

Values from the calculation:
The value obtained for the energy relative to the elements is -0.1936 eV/atom. Its volume is 15.10 Å³/atom. The value obtained for the total magnetization is 0.00 μB/cell.

CIF file:
```
data_HoCu2Ni2
_cell_length_a 10.695
_cell_length_b 10.695
_cell_length_c 10.695
_cell_angle_alpha 159.43
_cell_angle_beta 159.43
_cell_angle_gamma 29.26
_symmetry_space_group_name_H-M 'P 1'
_symmetry_Int_Tables_number 1
_symmetry_space_group_name_Hall 'P 1'
loop_
_atom_site_label
_atom_site_type_symbol
_atom_site_fract_x
_atom_site_fract_y
_atom_site_fract_z
Ho1 Ho 0.126 0.126 0.000
Ho2 Ho 0.874 0.874 0.000
Cu1 Cu 0.000 0.500 0.500
Cu2 Cu 0.319 0.319 0.000
Cu3 Cu 0.500 0.000 0.500
Cu4 Cu 0.681 0.681 0.000
Ni1 Ni 0.250 0.750 0.500
Ni2 Ni 0.431 0.431 0.000
Ni3 Ni 0.569 0.569 0.000
Ni4 Ni 0.750 0.250 0.500
```

---

The following is a DFT calculation (PBE) of a relaxed structure of Ho2CuNi3.

Values from the calculation:
The value obtained for the energy relative to the elements is -0.0991 eV/atom. Its volume is 17.28 Å³/atom. The value obtained for the total magnetization is 0.00 μB/cell.

CIF file:
```
data_Ho2CuNi3
_cell_length_a 5.736
_cell_length_b 5.736
_cell_length_c 5.736
_cell_angle_alpha 135.08
_cell_angle_beta 127.38
_cell_angle_gamma 71.63
_symmetry_space_group_name_H-M 'P 1'
_symmetry_Int_Tables_number 1
_symmetry_space_group_name_Hall 'P 1'
loop_
_atom_site_label
_atom_site_type_symbol
_atom_site_fract_x
_atom_site_fract_y
_atom_site_fract_z
Ho1 Ho 0.190 0.190 0.000
Ho2 Ho 0.810 0.810 0.000
Cu1 Cu 0.500 0.500 0.000
Ni1 Ni 0.000 0.500 0.500
Ni2 Ni 0.377 0.877 0.500
Ni3 Ni 0.623 0.123 0.500
```

---

The following is a DFT calculation (PBE) of a relaxed structure of Ho3Cu4Ni2.

Values from the calculation:
The value obtained for the energy relative to the elements is -0.3113 eV/atom. Its volume is 17.71 Å³/atom. The value obtained for the total magnetization is 0.00 μB/cell.

CIF file:
```
data_Ho3Cu4Ni2
_cell_length_a 5.523
_cell_length_b 5.523
_cell_length_c 8.156
_cell_angle_alpha 109.32
_cell_angle_beta 109.32
_cell_angle_gamma 43.27
_symmetry_space_group_name_H-M 'P 1'
_symmetry_Int_Tables_number 1
_symmetry_space_group_name_Hall 'P 1'
loop_
_atom_site_label
_atom_site_type_symbol
_atom_site_fract_x
_atom_site_fract_y
_atom_site_fract_z
Ho1 Ho 0.000 0.000 0.000
Ho2 Ho 0.324 0.324 0.344
Ho3 Ho 0.676 0.676 0.656
Cu1 Cu 0.043 0.043 0.380
Cu2 Cu 0.279 0.279 0.941
Cu3 Cu 0.721 0.721 0.059
Cu4 Cu 0.957 0.957 0.620
Ni1 Ni 0.396 0.396 0.730
Ni2 Ni 0.604 0.604 0.270
```

---

The following is a DFT calculation (PBE) of a relaxed structure of Ho2CuNi4P3.

Values from the calculation:
The value obtained for the energy relative to the elements is -0.8849 eV/atom. Its volume is 14.23 Å³/atom. The value obtained for the total magnetization is 0.00 μB/cell.

CIF file:
```
data_Ho2CuNi4P3
_cell_length_a 3.907
_cell_length_b 3.907
_cell_length_c 9.319
_cell_angle_alpha 90.00
_cell_angle_beta 90.00
_cell_angle_gamma 90.00
_symmetry_space_group_name_H-M 'P 1'
_symmetry_Int_Tables_number 1
_symmetry_space_group_name_Hall 'P 1'
loop_
_atom_site_label
_atom_site_type_symbol
_atom_site_fract_x
_atom_site_fract_y
_atom_site_fract_z
Ho1 Ho 0.000 0.500 0.248
Ho2 Ho 0.500 0.000 0.752
Cu1 Cu 0.000 0.000 0.500
Ni1 Ni 0.000 0.000 0.000
Ni2 Ni 0.000 0.500 0.631
Ni3 Ni 0.500 0.000 0.369
Ni4 Ni 0.500 0.500 0.000
P1 P 0.000 0.500 0.867
P2 P 0.500 0.000 0.133
P3 P 0.500 0.500 0.500
```

---

The following is a DFT calculation (PBE) of a relaxed structure of Ho2CuNi3P4.

Values from the calculation:
The value obtained for the energy relative to the elements is -0.9087 eV/atom. Its volume is 14.54 Å³/atom. The value obtained for the total magnetization is 0.00 μB/cell.

CIF file:
```
data_Ho2CuNi3P4
_cell_length_a 3.988
_cell_length_b 3.988
_cell_length_c 9.145
_cell_angle_alpha 90.00
_cell_angle_beta 90.00
_cell_angle_gamma 90.00
_symmetry_space_group_name_H-M 'P 1'
_symmetry_Int_Tables_number 1
_symmetry_space_group_name_Hall 'P 1'
loop_
_atom_site_label
_atom_site_type_symbol
_atom_site_fract_x
_atom_site_fract_y
_atom_site_fract_z
Ho1 Ho 0.000 0.500 0.245
Ho2 Ho 0.500 0.000 0.755
Cu1 Cu 0.000 0.000 0.500
Ni1 Ni 0.000 0.500 0.884
Ni2 Ni 0.500 0.000 0.116
Ni3 Ni 0.500 0.500 0.500
P1 P 0.000 0.000 0.000
P2 P 0.000 0.500 0.637
P3 P 0.500 0.000 0.363
P4 P 0.500 0.500 0.000
```

---

The following is a DFT calculation (PBE) of a relaxed structure of Ho2CuNi12P3.

Values from the calculation:
The value obtained for the energy relative to the elements is -0.1441 eV/atom. Its volume is 13.26 Å³/atom. The value obtained for the total magnetization is 0.00 μB/cell.

CIF file:
```
data_Ho2CuNi12P3
_cell_length_a 6.228
_cell_length_b 6.228
_cell_length_c 6.228
_cell_angle_alpha 84.83
_cell_angle_beta 84.83
_cell_angle_gamma 84.83
_symmetry_space_group_name_H-M 'P 1'
_symmetry_Int_Tables_number 1
_symmetry_space_group_name_Hall 'P 1'
loop_
_atom_site_label
_atom_site_type_symbol
_atom_site_fract_x
_atom_site_fract_y
_atom_site_fract_z
Ho1 Ho 0.154 0.154 0.154
Ho2 Ho 0.846 0.846 0.846
Cu1 Cu 0.500 0.500 0.500
Ni1 Ni 0.121 0.121 0.603
Ni2 Ni 0.121 0.603 0.121
Ni3 Ni 0.190 0.679 0.679
Ni4 Ni 0.321 0.321 0.810
Ni5 Ni 0.321 0.810 0.321
Ni6 Ni 0.397 0.879 0.879
Ni7 Ni 0.603 0.121 0.121
Ni8 Ni 0.679 0.190 0.679
Ni9 Ni 0.679 0.679 0.190
Ni10 Ni 0.810 0.321 0.321
Ni11 Ni 0.879 0.397 0.879
Ni12 Ni 0.879 0.879 0.397
P1 P 0.000 0.500 0.500
P2 P 0.500 0.000 0.500
P3 P 0.500 0.500 0.000
```

---

The following is a DFT calculation (PBE) of a relaxed structure of HoPaCuNi.

Values from the calculation:
The value obtained for the energy relative to the elements is -0.0964 eV/atom. Its volume is 19.67 Å³/atom. The value obtained for the total magnetization is 0.00 μB/cell.

CIF file:
```
data_HoPaCuNi
_cell_length_a 4.810
_cell_length_b 4.810
_cell_length_c 4.810
_cell_angle_alpha 60.00
_cell_angle_beta 60.00
_cell_angle_gamma 60.00
_symmetry_space_group_name_H-M 'P 1'
_symmetry_Int_Tables_number 1
_symmetry_space_group_name_Hall 'P 1'
loop_
_atom_site_label
_atom_site_type_symbol
_atom_site_fract_x
_atom_site_fract_y
_atom_site_fract_z
Ho1 Ho 0.000 0.000 0.000
Pa1 Pa 0.500 0.500 0.500
Cu1 Cu 0.750 0.750 0.750
Ni1 Ni 0.250 0.250 0.250
```

---

The following is a DFT calculation (PBE) of a relaxed structure of HoCuNiPb.

Values from the calculation:
The value obtained for the energy relative to the elements is -0.2280 eV/atom. Its volume is 18.32 Å³/atom. The value obtained for the total magnetization is 0.00 μB/cell.

CIF file:
```
data_HoCuNiPb
_cell_length_a 4.697
_cell_length_b 4.697
_cell_length_c 4.697
_cell_angle_alpha 60.00
_cell_angle_beta 60.00
_cell_angle_gamma 60.00
_symmetry_space_group_name_H-M 'P 1'
_symmetry_Int_Tables_number 1
_symmetry_space_group_name_Hall 'P 1'
loop_
_atom_site_label
_atom_site_type_symbol
_atom_site_fract_x
_atom_site_fract_y
_atom_site_fract_z
Ho1 Ho 0.000 0.000 0.000
Cu1 Cu 0.750 0.750 0.750
Ni1 Ni 0.250 0.250 0.250
Pb1 Pb 0.500 0.500 0.500
```

---

The following is a DFT calculation (PBE) of a relaxed structure of PmHoCuNi.

Values from the calculation:
The value obtained for the energy relative to the elements is -0.3138 eV/atom. Its volume is 21.47 Å³/atom. The value obtained for the total magnetization is 0.00 μB/cell.

CIF file:
```
data_PmHoCuNi
_cell_length_a 4.427
_cell_length_b 5.493
_cell_length_c 5.493
_cell_angle_alpha 40.00
_cell_angle_beta 90.00
_cell_angle_gamma 90.00
_symmetry_space_group_name_H-M 'P 1'
_symmetry_Int_Tables_number 1
_symmetry_space_group_name_Hall 'P 1'
loop_
_atom_site_label
_atom_site_type_symbol
_atom_site_fract_x
_atom_site_fract_y
_atom_site_fract_z
Pm1 Pm 0.000 0.000 0.000
Ho1 Ho 0.500 0.722 0.722
Cu1 Cu 0.500 0.428 0.428
Ni1 Ni 0.000 0.286 0.286
```

---

The following is a DFT calculation (PBE) of a relaxed structure of PmHoCuNi.

Values from the calculation:
The value obtained for the energy relative to the elements is -0.2736 eV/atom. Its volume is 20.76 Å³/atom. The value obtained for the total magnetization is 0.00 μB/cell.

CIF file:
```
data_PmHoCuNi
_cell_length_a 4.897
_cell_length_b 4.897
_cell_length_c 4.897
_cell_angle_alpha 60.00
_cell_angle_beta 60.00
_cell_angle_gamma 60.00
_symmetry_space_group_name_H-M 'P 1'
_symmetry_Int_Tables_number 1
_symmetry_space_group_name_Hall 'P 1'
loop_
_atom_site_label
_atom_site_type_symbol
_atom_site_fract_x
_atom_site_fract_y
_atom_site_fract_z
Pm1 Pm 0.000 0.000 0.000
Ho1 Ho 0.500 0.500 0.500
Cu1 Cu 0.250 0.250 0.250
Ni1 Ni 0.750 0.750 0.750
```

---

The following is a DFT calculation (PBE) of a relaxed structure of Pr2HoCu12Ni3.

Values from the calculation:
The value obtained for the energy relative to the elements is 0.2437 eV/atom. Its volume is 17.14 Å³/atom. The value obtained for the total magnetization is 0.00 μB/cell.

CIF file:
```
data_Pr2HoCu12Ni3
_cell_length_a 9.560
_cell_length_b 9.560
_cell_length_c 9.560
_cell_angle_alpha 38.81
_cell_angle_beta 38.81
_cell_angle_gamma 38.81
_symmetry_space_group_name_H-M 'P 1'
_symmetry_Int_Tables_number 1
_symmetry_space_group_name_Hall 'P 1'
loop_
_atom_site_label
_atom_site_type_symbol
_atom_site_fract_x
_atom_site_fract_y
_atom_site_fract_z
Pr1 Pr 0.138 0.138 0.138
Pr2 Pr 0.862 0.862 0.862
Ho1 Ho 0.500 0.500 0.500
Cu1 Cu 0.034 0.625 0.625
Cu2 Cu 0.087 0.087 0.705
Cu3 Cu 0.087 0.705 0.087
Cu4 Cu 0.295 0.913 0.913
Cu5 Cu 0.375 0.375 0.966
Cu6 Cu 0.375 0.966 0.375
Cu7 Cu 0.625 0.034 0.625
Cu8 Cu 0.625 0.625 0.034
Cu9 Cu 0.705 0.087 0.087
Cu10 Cu 0.913 0.295 0.913
Cu11 Cu 0.913 0.913 0.295
Cu12 Cu 0.966 0.375 0.375
Ni1 Ni 0.000 0.500 0.500
Ni2 Ni 0.500 0.000 0.500
Ni3 Ni 0.500 0.500 0.000
```

---

The following is a DFT calculation (PBE) of a relaxed structure of HoCuNiPt.

Values from the calculation:
The value obtained for the energy relative to the elements is -0.4715 eV/atom. Its volume is 15.86 Å³/atom. The value obtained for the total magnetization is 0.00 μB/cell.

CIF file:
```
data_HoCuNiPt
_cell_length_a 4.476
_cell_length_b 4.476
_cell_length_c 4.476
_cell_angle_alpha 60.00
_cell_angle_beta 60.00
_cell_angle_gamma 60.00
_symmetry_space_group_name_H-M 'P 1'
_symmetry_Int_Tables_number 1
_symmetry_space_group_name_Hall 'P 1'
loop_
_atom_site_label
_atom_site_type_symbol
_atom_site_fract_x
_atom_site_fract_y
_atom_site_fract_z
Ho1 Ho 0.000 0.000 0.000
Cu1 Cu 0.250 0.250 0.250
Ni1 Ni 0.750 0.750 0.750
Pt1 Pt 0.500 0.500 0.500
```

---

Which of these has the highest energy relative to the elements?
Pr2HoCu12Ni3

---

Which of these has the lowest energy relative to the elements?
Ho2CuNi3P4

---

energy relative to the elements of number 10 (PmHoCuNi)?
-0.2736 eV/atom

---

Which of these has the lowest energy relative to the elements?
Ho2CuNi3P4